1.
# KBa2GaO4

An optimized crystal structure of KBa2GaO4 (PBE, Alexandria).

Output
- Uncorrected formation energy: -2.075 eV per atom

a b c (Å): 3.6776 13.7351 13.0729
angles (deg): 90.00 90.00 90.00
Closest atoms and distances in Å follow each position.
Space group Cmcm (No. 63)
Unique sites:
K  0.0000  0.1054  0.2500 [4 per cell]  4 O 3.03, 2 Ga 3.32
Ba  0.0000  0.3709  0.0368 [8 per cell]  6 O 2.60-2.86
Ga  0.0000  0.1934  0.7500 [4 per cell]  2 O 1.83
O  0.0000  0.0000  0.0000 [4 per cell]  4 Ba 2.60
O  0.0000  0.2621  0.6298 [8 per cell]  1 Ga 1.83
O  0.0000  0.3764  0.2500 [4 per cell]  2 Ga 2.07

2.
# KBa6Zn4Ga7O21

An optimized crystal structure of KBa6Zn4Ga7O21 (PBE, Alexandria).

Output
- Uncorrected formation energy: -2.095 eV per atom

a b c (Å): 10.9435 10.9454 12.0245
angles (deg): 89.96 89.75 60.15
Closest atoms and distances in Å follow each position.
Space group P1 (No. 1)
Unique sites:
K  0.0000  0.0000  0.0000 [1 per cell]  7 O 2.88-2.96, 1 Zn 3.22
K  0.3324  0.3304  0.4988 [1 per cell]  7 O 2.85-2.96
Ba  0.0622  0.4620  0.7309 [1 per cell]  6 O 2.58-2.87
Ba  0.2713  0.8623  0.2283 [1 per cell]  6 O 2.58-2.83
Ba  0.3998  0.7900  0.5577 [1 per cell]  6 O 2.69-2.77
Ba  0.4671  0.0602  0.7311 [1 per cell]  6 O 2.59-2.88
Ba  0.4692  0.4666  0.7300 [1 per cell]  6 O 2.57-2.88
Ba  0.5252  0.5378  0.0574 [1 per cell]  6 O 2.65-2.78
Ba  0.5389  0.9349  0.0590 [1 per cell]  6 O 2.65-2.81
Ba  0.7931  0.8065  0.5561 [1 per cell]  6 O 2.65-2.82
Ba  0.8111  0.3984  0.5544 [1 per cell]  6 O 2.63-2.83
Ba  0.8614  0.8604  0.2344 [1 per cell]  6 O 2.61-2.86
Ba  0.8643  0.2684  0.2307 [1 per cell]  6 O 2.59-2.82
Ba  0.9363  0.5201  0.0601 [1 per cell]  6 O 2.65-2.82
Zn  0.0044  0.4902  0.3776 [1 per cell]  4 O 1.96-2.08
Zn  0.1076  0.0958  0.7272 [1 per cell]  4 O 1.98-2.02
Zn  0.1360  0.6669  0.4892 [1 per cell]  4 O 1.97-2.06
Zn  0.1433  0.6583  0.9872 [1 per cell]  4 O 1.96-2.08
Zn  0.1943  0.1439  0.9850 [1 per cell]  4 O 1.97-2.09
Zn  0.5002  0.0025  0.3757 [1 per cell]  4 O 1.98-2.02
Zn  0.6589  0.1950  0.9866 [1 per cell]  4 O 1.96-2.07
Zn  0.6717  0.1904  0.4864 [1 per cell]  4 O 1.97-2.10
Ga  0.0966  0.7976  0.7317 [1 per cell]  4 O 1.85-1.91
Ga  0.1922  0.1354  0.4849 [1 per cell]  4 O 1.86-1.90
Ga  0.2272  0.5318  0.2313 [1 per cell]  4 O 1.85-1.93
Ga  0.2373  0.2215  0.2320 [1 per cell]  4 O 1.85-1.93
Ga  0.3232  0.8325  0.8738 [1 per cell]  4 O 1.85-1.92
Ga  0.3331  0.3320  0.9057 [1 per cell]  4 O 1.86-1.94
Ga  0.4880  0.4989  0.3747 [1 per cell]  4 O 1.86-1.91
Ga  0.5342  0.2319  0.2355 [1 per cell]  4 O 1.85-1.93
Ga  0.6648  0.6653  0.8016 [1 per cell]  4 O 1.84-1.90
Ga  0.6675  0.6609  0.3004 [1 per cell]  4 O 1.86-1.93
Ga  0.8007  0.0999  0.7313 [1 per cell]  4 O 1.85-1.92
Ga  0.8342  0.8404  0.8765 [1 per cell]  4 O 1.86-1.91
Ga  0.8461  0.3198  0.8756 [1 per cell]  4 O 1.87-1.89
Ga  0.9983  0.9999  0.4067 [1 per cell]  4 O 1.85-1.93
O  0.0008  0.9963  0.2464 [1 per cell]  1 Ga 1.93
O  0.0365  0.5578  0.5195 [1 per cell]  2 Zn 1.96-2.01
O  0.0423  0.2037  0.8707 [1 per cell]  1 Ga 1.87, 2 Zn 2.00-2.01
O  0.0420  0.5742  0.2438 [1 per cell]  1 Ga 1.85, 1 Zn 1.99
O  0.0878  0.2310  0.6100 [1 per cell]  1 Ga 1.86, 1 Zn 1.98
O  0.1041  0.2477  0.1261 [1 per cell]  1 Ga 1.85, 1 Zn 2.00
O  0.1435  0.2737  0.3718 [1 per cell]  2 Ga 1.90, 1 Zn 2.08
O  0.1553  0.4815  0.9385 [1 per cell]  1 Ga 1.86, 1 Zn 1.96
O  0.1745  0.9808  0.4395 [1 per cell]  2 Ga 1.88
O  0.1949  0.7604  0.8694 [1 per cell]  2 Ga 1.91-1.92, 1 Zn 2.05
O  0.2288  0.6867  0.6258 [1 per cell]  1 Ga 1.85, 1 Zn 2.00
O  0.2523  0.6402  0.1246 [1 per cell]  1 Ga 1.86, 1 Zn 1.99
O  0.2897  0.5666  0.3696 [1 per cell]  2 Ga 1.91, 1 Zn 2.06
O  0.2930  0.9259  0.0091 [1 per cell]  1 Ga 1.86
O  0.3028  0.9380  0.7480 [1 per cell]  1 Ga 1.85, 1 Zn 1.99
O  0.3325  0.3293  0.2154 [1 per cell]  3 Ga 1.93
O  0.3330  0.3320  0.7444 [1 per cell]  1 Ga 1.94
O  0.3619  0.1538  0.9380 [1 per cell]  1 Ga 1.86, 1 Zn 1.97
O  0.3811  0.0363  0.2413 [1 per cell]  1 Ga 1.85, 1 Zn 2.00
O  0.3873  0.0449  0.5160 [1 per cell]  1 Ga 1.89, 1 Zn 2.00
O  0.4837  0.3596  0.9364 [1 per cell]  1 Ga 1.86, 1 Zn 1.96
O  0.5007  0.6622  0.3536 [1 per cell]  2 Ga 1.88-1.93
O  0.5025  0.6680  0.8607 [1 per cell]  2 Ga 1.90
O  0.5549  0.4089  0.5101 [1 per cell]  1 Ga 1.86
O  0.5700  0.3832  0.2491 [1 per cell]  2 Ga 1.88-1.89
O  0.5735  0.1396  0.3720 [1 per cell]  1 Ga 1.86, 2 Zn 1.99-2.02
O  0.6446  0.1054  0.1261 [1 per cell]  1 Ga 1.85, 1 Zn 1.99
O  0.6641  0.6663  0.1458 [1 per cell]  1 Ga 1.86
O  0.6637  0.6663  0.6484 [1 per cell]  1 Ga 1.84
O  0.6723  0.8159  0.3613 [1 per cell]  1 Ga 1.87, 1 Zn 1.98
O  0.6726  0.8235  0.8579 [1 per cell]  2 Ga 1.88-1.90
O  0.6849  0.0861  0.6266 [1 per cell]  1 Ga 1.85, 1 Zn 2.00
O  0.7621  0.0395  0.8700 [1 per cell]  2 Ga 1.91-1.92, 1 Zn 2.05
O  0.7615  0.2868  0.7508 [1 per cell]  2 Ga 1.88-1.89
O  0.7767  0.2931  0.0100 [1 per cell]  1 Ga 1.87, 1 Zn 2.07
O  0.8223  0.5020  0.8583 [1 per cell]  2 Ga 1.89
O  0.8227  0.4945  0.3526 [1 per cell]  1 Ga 1.88, 1 Zn 1.99
O  0.8505  0.1772  0.4397 [1 per cell]  1 Ga 1.85, 1 Zn 1.97
O  0.9268  0.7765  0.0111 [1 per cell]  1 Ga 1.86, 1 Zn 2.08
O  0.9511  0.7544  0.7524 [1 per cell]  2 Ga 1.88-1.89
O  0.9763  0.8471  0.4393 [1 per cell]  1 Ga 1.85, 1 Zn 1.97
O  0.9970  0.9938  0.7110 [1 per cell]  2 Ga 1.88, 1 Zn 2.02

3.
# K2Ba2GaPb4

An optimized crystal structure of K2Ba2GaPb4 (PBE, Alexandria).

a b c (Å): 7.8045 7.8045 10.9009
angles (deg): 90.00 90.00 90.00
Closest atoms and distances in Å follow each position.
Space group I4/mmm (No. 139)
Unique sites:
K  0.0000  0.0000  0.2086 [4 per cell]  1 Ga 3.18, 4 Pb 3.55
Ba  0.0000  0.5000  0.2500 [4 per cell]  8 Pb 3.88, 4 K 3.93
Ga  0.0000  0.0000  0.5000 [2 per cell]  4 Pb 2.79
Pb  0.2474  0.2474  0.0000 [8 per cell]  1 Ga 2.79

4.
# KBa2GaPt

An optimized crystal structure of KBa2GaPt (PBE, Alexandria).

a b c (Å): 6.3584 6.3584 4.9936
angles (deg): 90.00 90.00 90.00
Closest atoms and distances in Å follow each position.
Space group P4/mmm (No. 123)
Unique sites:
K  0.0000  0.0000  0.0000 [1 per cell]  8 Ba 4.04, 4 Ga 4.50
Ba  0.0000  0.5000  0.5000 [2 per cell]  2 Pt 3.18
Ga  0.5000  0.5000  0.0000 [1 per cell]  2 Pt 2.50
Pt  0.5000  0.5000  0.5000 [1 per cell]  2 Ga 2.50

The density results, record by record, are as follows: 4.50 5.18 6.26 4.76 Mg/m³.
The E results, record by record, are as follows: -5.5508 -5.7623 -2.8956 -3.1492 eV/atom.